Record 1
Material: Cs2RbCaBr5
Method: DFT, PBE
State: optimized geometry

Results
Space-group type: No. 71
Uncorrected formation energy: -1.85 eV per atom

Lattice parameters (Å, degrees): 5.6286 8.1912 9.9944 114.19 106.36 90.00
With the nearest neighbours (Å) after each atom.
Element x y z (fractional)
Cs 0.2072 0.2072 0.4145  7 Br 3.59-3.79
Cs 0.7928 0.7928 0.5855  7 Br 3.59-3.79
Rb 0.0000 0.5000 0.0000  10 Br 4.06-4.10
Ca 0.5000 0.0000 0.0000  6 Br 2.81-2.92
Br 0.6204 0.8704 0.2408  1 Ca 2.92
Br 0.3796 0.1296 0.7592  1 Ca 2.92
Br 0.3796 0.6296 0.7592  1 Ca 2.92
Br 0.6204 0.3704 0.2408  1 Ca 2.92
Br 0.0000 0.0000 0.0000  2 Ca 2.81

---

Record 2
Material: Cs2CaRhBr6
Method: DFT, PBE
State: optimized geometry

Results
Space-group type: No. 139
Uncorrected formation energy: -1.33 eV per atom

Lattice parameters (Å, degrees): 7.8626 7.8626 7.7915 59.70 59.70 90.00
With the nearest neighbours (Å) after each atom.
Element x y z (fractional)
Cs 0.7500 0.2500 0.5000  12 Br 3.90-3.94
Cs 0.2500 0.7500 0.5000  12 Br 3.90-3.94
Ca 0.5000 0.5000 0.0000  6 Br 2.88-2.92
Rh 0.0000 0.0000 0.0000  6 Br 2.54-2.68
Br 0.2326 0.2326 0.5349  1 Rh 2.54
Br 0.7674 0.7674 0.4651  1 Rh 2.54
Br 0.2407 0.2407 0.0000  1 Rh 2.68, 1 Ca 2.88
Br 0.7593 0.7593 0.0000  1 Rh 2.68, 1 Ca 2.88
Br 0.7593 0.2407 0.0000  1 Rh 2.68, 1 Ca 2.88
Br 0.2407 0.7593 0.0000  1 Rh 2.68, 1 Ca 2.88

---

Record 3
Material: Cs2CaSBr6
Method: DFT, PBE
State: optimized geometry

Results
Space-group type: No. 139
Uncorrected formation energy: -1.23 eV per atom

Lattice parameters (Å, degrees): 7.6946 7.6946 8.5616 63.30 63.30 90.00
With the nearest neighbours (Å) after each atom.
Element x y z (fractional)
Cs 0.7500 0.2500 0.5000  12 Br 3.88-4.29
Cs 0.2500 0.7500 0.5000  12 Br 3.88-4.29
Ca 0.0000 0.0000 0.0000  6 Br 2.80-2.94
S 0.5000 0.5000 0.0000  4 Br 2.50
Br 0.2116 0.2116 0.5767  1 Ca 2.80
Br 0.7884 0.7884 0.4233  1 Ca 2.80
Br 0.2706 0.2706 0.0000  1 S 2.50
Br 0.7294 0.7294 0.0000  1 S 2.50
Br 0.7294 0.2706 0.0000  1 S 2.50
Br 0.2706 0.7294 0.0000  1 S 2.50

---

Record 4
Material: Cs2CaSbBr6
Method: DFT, PBE
State: optimized geometry

Results
ΔE to the lowest computed polymorph: 0 meV per atom
Space-group type: No. 59
Uncorrected formation energy: -1.41 eV per atom

Lattice parameters (Å, degrees): 9.1135 8.2624 11.4166 90.00 90.00 90.00
With the nearest neighbours (Å) after each atom.
Element x y z (fractional)
Cs 0.5000 0.8511 0.2419  7 Br 3.81-4.06
Cs 0.0000 0.1489 0.7419  7 Br 3.81-4.06
Cs 0.5000 0.8511 0.7581  7 Br 3.81-4.06
Cs 0.0000 0.1489 0.2581  7 Br 3.81-4.06
Ca 0.0000 0.6771 0.5000  6 Br 2.83-2.98
Ca 0.5000 0.3229 0.0000  6 Br 2.83-2.98
Sb 0.5000 0.3746 0.5000  4 Br 2.80-2.81
Sb 0.0000 0.6254 0.0000  4 Br 2.80-2.81
Br 0.5000 0.3283 0.2573  1 Sb 2.80, 1 Ca 2.94
Br 0.5000 0.3283 0.7427  1 Sb 2.80, 1 Ca 2.94
Br 0.0000 0.6717 0.2427  1 Sb 2.80, 1 Ca 2.94
Br 0.0000 0.6717 0.7573  1 Sb 2.80, 1 Ca 2.94
Br 0.2356 0.9002 0.5000  1 Ca 2.83
Br 0.7644 0.9002 0.5000  1 Ca 2.83
Br 0.1922 0.3858 0.5000  1 Sb 2.81, 1 Ca 2.98
Br 0.8078 0.3858 0.5000  1 Sb 2.81, 1 Ca 2.98
Br 0.6922 0.6142 0.0000  1 Sb 2.81, 1 Ca 2.98
Br 0.3078 0.6142 0.0000  1 Sb 2.81, 1 Ca 2.98
Br 0.2644 0.0998 0.0000  1 Ca 2.83
Br 0.7356 0.0998 0.0000  1 Ca 2.83

---

Record 5
Material: Cs2CaSbBr6
Method: DFT, PBE
State: optimized geometry

Results
ΔE to the lowest computed polymorph: 6 meV per atom
Space-group type: No. 139
Uncorrected formation energy: -1.40 eV per atom

Lattice parameters (Å, degrees): 8.0895 8.0895 8.5641 61.82 61.82 90.00
With the nearest neighbours (Å) after each atom.
Element x y z (fractional)
Cs 0.7500 0.2500 0.5000  12 Br 4.06-4.28
Cs 0.2500 0.7500 0.5000  12 Br 4.06-4.28
Sb 0.0000 0.0000 0.0000  4 Br 2.81
Ca 0.5000 0.5000 0.0000  6 Br 2.83-2.91
Br 0.2777 0.2777 0.4446  1 Ca 2.83
Br 0.7223 0.7223 0.5554  1 Ca 2.83
Br 0.2455 0.2455 0.0000  1 Sb 2.81, 1 Ca 2.91
Br 0.7545 0.7545 0.0000  1 Sb 2.81, 1 Ca 2.91
Br 0.7545 0.2455 0.0000  1 Sb 2.81, 1 Ca 2.91
Br 0.2455 0.7545 0.0000  1 Sb 2.81, 1 Ca 2.91

---

Record 6
Material: CsCa2ScBr8
Method: DFT, PBE
State: optimized geometry

Results
Space-group type: No. 2
Uncorrected formation energy: -1.81 eV per atom

Lattice parameters (Å, degrees): 6.9557 6.7182 9.3057 89.85 89.90 88.55
With the nearest neighbours (Å) after each atom.
Element x y z (fractional)
Cs 0.0000 0.0000 0.5000  6 Br 3.38-3.43
Ca 0.5000 0.4997 0.7519  6 Br 2.91-3.14
Ca 0.5000 0.5003 0.2481  6 Br 2.91-3.14
Sc 0.0000 0.0000 0.0000  6 Br 2.65-2.81
Br 0.1627 0.7634 0.1954  1 Sc 2.65, 1 Ca 2.94
Br 0.6831 0.7491 0.9997  1 Sc 2.81, 2 Ca 3.14
Br 0.8357 0.2350 0.1949  1 Sc 2.65, 1 Ca 2.94
Br 0.8373 0.2366 0.8046  1 Sc 2.65, 1 Ca 2.94
Br 0.3169 0.2509 0.0003  1 Sc 2.81, 2 Ca 3.14
Br 0.1643 0.7650 0.8051  1 Sc 2.65, 1 Ca 2.94
Br 0.5939 0.7339 0.4995  2 Ca 2.91
Br 0.4061 0.2661 0.5005  2 Ca 2.91

---

Record 7
Material: CsCaSc2Br8
Method: DFT, PBE
State: optimized geometry

Results
Space-group type: No. 148
Uncorrected formation energy: -1.66 eV per atom

Lattice parameters (Å, degrees): 7.2014 7.2014 11.1127 71.09 71.09 60.00
With the nearest neighbours (Å) after each atom.
Element x y z (fractional)
Cs 0.5000 0.5000 0.5000  12 Br 4.16-4.17
Ca 0.0000 0.0000 0.0000  6 Br 2.93
Sc 0.2574 0.2574 0.2278  4 Br 2.52-2.59
Sc 0.7426 0.7426 0.7722  4 Br 2.52-2.59
Br 0.1760 0.1760 0.4721  1 Sc 2.52
Br 0.6232 0.2852 0.1647  1 Sc 2.59
Br 0.8240 0.8240 0.5279  1 Sc 2.52
Br 0.9269 0.6232 0.1647  1 Sc 2.59
Br 0.0731 0.3768 0.8353  1 Sc 2.59
Br 0.2852 0.9269 0.1647  1 Sc 2.59
Br 0.7148 0.0731 0.8353  1 Sc 2.59
Br 0.3768 0.7148 0.8353  1 Sc 2.59

---

Record 8
Material: CsCaScBr6
Method: DFT, PBE
State: optimized geometry

Results
Space-group type: No. 149
Uncorrected formation energy: -1.87 eV per atom

Lattice parameters (Å, degrees): 7.3196 7.3197 8.0509 90.00 90.00 60.00
With the nearest neighbours (Å) after each atom.
Element x y z (fractional)
Cs 0.0000 0.0000 0.0000  6 Br 3.68
Ca 0.6666 0.6667 0.5000  6 Br 2.91
Sc 0.3333 0.3333 0.5000  6 Br 2.68
Br 0.0236 0.3625 0.3039  1 Sc 2.68, 1 Ca 2.91
Br 0.3625 0.0237 0.6961  1 Sc 2.68, 1 Ca 2.91
Br 0.6138 0.3625 0.6961  1 Sc 2.68, 1 Ca 2.91
Br 0.0236 0.6139 0.6961  1 Sc 2.68, 1 Ca 2.91
Br 0.3625 0.6138 0.3039  1 Sc 2.68, 1 Ca 2.91
Br 0.6138 0.0236 0.3039  1 Sc 2.68, 1 Ca 2.91

---

Record 9
Material: CsCaSe2Br
Method: DFT, PBE
State: optimized geometry

Results
ΔE to the lowest computed polymorph: 0 meV per atom
Space-group type: No. 123
Uncorrected formation energy: -1.07 eV per atom

Lattice parameters (Å, degrees): 5.7057 5.7057 5.8718 90.00 90.00 90.00
With the nearest neighbours (Å) after each atom.
Element x y z (fractional)
Cs 0.5000 0.5000 0.5000  4 Br 4.03, 8 Se 4.09
Ca 0.0000 0.0000 0.0000  4 Se 2.85, 2 Br 2.94
Se 0.0000 0.5000 0.0000  2 Ca 2.85
Se 0.5000 0.0000 0.0000  2 Ca 2.85
Br 0.0000 0.0000 0.5000  2 Ca 2.94

---

Record 10
Material: Cs2CaSeBr
Method: DFT, PBE
State: optimized geometry

Results
Space-group type: No. 123
Uncorrected formation energy: -0.46 eV per atom

Lattice parameters (Å, degrees): 7.3460 5.3372 7.3460 90.00 90.00 90.00
With the nearest neighbours (Å) after each atom.
Element x y z (fractional)
Cs 0.0000 0.0000 0.5000  2 Ca 3.67
Cs 0.5000 0.0000 0.0000  2 Ca 3.67
Ca 0.0000 0.0000 0.0000  2 Br 2.67
Se 0.5000 0.5000 0.5000  8 Cs 4.54
Br 0.0000 0.5000 0.0000  2 Ca 2.67

---

Record 11
Material: CsCaSe2Br
Method: DFT, PBE
State: optimized geometry

Results
ΔE to the lowest computed polymorph: 951 meV per atom
Space-group type: No. 123
Uncorrected formation energy: -0.12 eV per atom

Lattice parameters (Å, degrees): 5.7228 5.7228 6.2320 90.00 90.00 90.00
With the nearest neighbours (Å) after each atom.
Element x y z (fractional)
Cs 0.0000 0.0000 0.0000  4 Se 2.86, 2 Br 3.12
Ca 0.5000 0.5000 0.5000  4 Br 4.05, 8 Se 4.23
Se 0.0000 0.5000 0.0000  2 Cs 2.86
Se 0.5000 0.0000 0.0000  2 Cs 2.86
Br 0.0000 0.0000 0.5000  2 Cs 3.12

---

Record 12
Material: Cs2CaSeBr6
Method: DFT, PBE
State: optimized geometry

Results
Space-group type: No. 139
Uncorrected formation energy: -1.24 eV per atom

Lattice parameters (Å, degrees): 8.4847 8.4847 8.1465 58.62 58.62 90.00
With the nearest neighbours (Å) after each atom.
Element x y z (fractional)
Cs 0.7500 0.2500 0.5000  12 Br 4.08-4.25
Cs 0.2500 0.7500 0.5000  12 Br 4.08-4.25
Ca 0.5000 0.5000 0.0000  6 Br 2.85-2.98
Se 0.0000 0.0000 0.0000  2 Br 2.53
Br 0.2297 0.2297 0.5407  1 Se 2.53
Br 0.7703 0.7703 0.4593  1 Se 2.53
Br 0.2629 0.2629 0.0000  1 Ca 2.85, 1 Se 3.15
Br 0.7371 0.7371 0.0000  1 Ca 2.85, 1 Se 3.15
Br 0.7371 0.2629 0.0000  1 Ca 2.85, 1 Se 3.15
Br 0.2629 0.7371 0.0000  1 Ca 2.85, 1 Se 3.15